[1]
# YLuIn2

An optimized crystal structure of YLuIn2 (PBE, Alexandria via LeMat-Bulk).

## Properties
As for the calculated volume: 111.6 Å³ per cell. The calculation puts the energy of formation at -0.325 eV/atom. Its spin magnetization is 0.000 μB per atom.

abc: 3.654 3.654 9.882
angles: 79.35 79.35 60.00
Fractional positions:
In: 0.251 0.251 0.246
In: 0.749 0.749 0.754
Y: 0.500 0.500 0.500
Lu: 0.000 0.000 0.000

---

[2]
# Tb2PrScBi4

An optimized crystal structure of Tb2PrScBi4 (PBE, Alexandria via LeMat-Bulk).

## Properties
As for the calculated volume: 254.9 Å³ per cell. The calculation puts the energy of formation at -0.819 eV/atom. Its spin magnetization is 0.000 μB per atom.

abc: 4.486 7.756 7.770
angles: 109.49 90.00 90.00
Fractional positions:
Tb: 0.000 0.500 0.500
Tb: 0.500 0.000 0.500
Bi: 0.500 0.738 0.749
Bi: 0.000 0.737 0.243
Bi: 0.500 0.262 0.251
Bi: 0.000 0.263 0.757
Pr: 0.000 0.000 0.000
Sc: 0.500 0.500 0.000

---

[3]
# Ce3AlHg2

An optimized crystal structure of Ce3AlHg2 (PBE, Alexandria via LeMat-Bulk).

## Properties
As for the calculated volume: 148.2 Å³ per cell. The calculation puts the energy of formation at -0.310 eV/atom. Its spin magnetization is 0.181 μB per atom.

abc: 3.270 3.270 13.864
angles: 90.00 90.00 90.00
Fractional positions:
Ce: 0.000 0.000 0.344
Ce: 0.000 0.000 0.656
Ce: 0.000 0.000 0.000
Hg: 0.500 0.500 0.829
Hg: 0.500 0.500 0.171
Al: 0.500 0.500 0.500

---

[4]
# PuHg2I8

An optimized crystal structure of PuHg2I8 (PBE, Alexandria via LeMat-Bulk).

## Properties
As for the calculated volume: 556.3 Å³ per cell. The formation energy (no corrections) is -49.7 kJ/mol of atoms. Its spin magnetization is 0.363 μB per atom.

abc: 7.356 8.932 8.932
angles: 71.57 88.00 88.00
Fractional positions:
I: 0.212 0.174 0.174
I: 0.755 0.290 0.884
I: 0.788 0.826 0.826
I: 0.317 0.600 0.600
I: 0.683 0.400 0.400
I: 0.755 0.884 0.290
I: 0.245 0.116 0.710
I: 0.245 0.710 0.116
Hg: 0.189 0.775 0.775
Hg: 0.811 0.225 0.225
Pu: 0.000 0.000 0.000

---

Question: Look up the spin magnetization of the fourth one.
Answer: 0.363 μB per atom